Record 1
First-principles (PBE) data for a geometry-optimized ScCo2Br structure, as listed in Alexandria.

relative energy among the computed polymorphs	0.563	eV per atom
total energy	-5.24	eV per atom

Unit cell a=5.051 b=5.051 c=5.051 alpha=137.03 beta=137.03 gamma=62.39
Fractional coordinates of all 4 atoms:
Sc (0.000, 0.000, 0.000)
Co (0.500, 0.500, 0.000)
Co (0.750, 0.250, 0.500)
Br (0.250, 0.750, 0.500)

=====

Record 2
First-principles (PBE) data for a geometry-optimized ScCo2Br structure, as listed in Alexandria.

relative energy among the computed polymorphs	0.495	eV per atom
total energy	-5.31	eV per atom

Unit cell a=3.690 b=3.690 c=4.652 alpha=90.00 beta=90.00 gamma=90.00
Fractional coordinates of all 4 atoms:
Sc (0.000, 0.000, 0.000)
Co (0.000, 0.500, 0.500)
Co (0.500, 0.000, 0.500)
Br (0.500, 0.500, 0.000)

=====

Record 3
First-principles (PBE) data for a geometry-optimized ScCo2Br structure, as listed in Alexandria.

relative energy among the computed polymorphs	0.060	eV per atom
total energy	-5.74	eV per atom

Unit cell a=7.155 b=7.155 c=7.155 alpha=30.06 beta=30.06 gamma=30.06
Fractional coordinates of all 4 atoms:
Sc (0.000, 0.000, 0.000)
Co (0.430, 0.430, 0.430)
Co (0.743, 0.743, 0.743)
Br (0.245, 0.245, 0.245)

=====

Record 4
First-principles (PBE) data for a geometry-optimized ScCo2Br structure, as listed in Alexandria.

relative energy among the computed polymorphs	0.318	eV per atom
total energy	-5.49	eV per atom

Unit cell a=7.022 b=7.022 c=7.022 alpha=153.24 beta=148.52 gamma=41.78
Fractional coordinates of all 4 atoms:
Sc (0.000, 0.000, 0.000)
Co (0.170, 0.670, 0.500)
Co (0.587, 0.587, 0.000)
Br (0.834, 0.334, 0.500)

=====

Record 5
First-principles (PBE) data for a geometry-optimized ScCo2Br structure, as listed in Alexandria.

relative energy among the computed polymorphs	0.000	eV per atom
total energy	-5.81	eV per atom

Unit cell a=3.719 b=3.719 c=6.453 alpha=90.00 beta=90.00 gamma=120.00
Fractional coordinates of all 4 atoms:
Sc (0.000, 0.000, 0.000)
Co (0.333, 0.667, 0.319)
Co (0.667, 0.333, 0.231)
Br (0.333, 0.667, 0.709)

=====

Record 6
First-principles (PBE) data for a geometry-optimized ScCo2Br structure, as listed in Alexandria.

relative energy among the computed polymorphs	0.126	eV per atom
total energy	-5.68	eV per atom

Unit cell a=3.241 b=3.226 c=7.246 alpha=90.00 beta=102.70 gamma=90.00
Fractional coordinates of all 4 atoms:
Sc (0.000, 0.000, 0.000)
Co (0.170, 0.000, 0.344)
Co (0.620, 0.500, 0.241)
Br (0.381, 0.500, 0.758)

=====

Record 7
First-principles (PBE) data for a geometry-optimized Sc3CoBr structure, as listed in Alexandria.

relative energy among the computed polymorphs	0.000	eV per atom
total energy	-5.75	eV per atom

Unit cell a=4.901 b=4.901 c=4.901 alpha=90.00 beta=90.00 gamma=90.00
Fractional coordinates of all 5 atoms:
Sc (0.000, 0.000, 0.500)
Sc (0.000, 0.500, 0.000)
Sc (0.500, 0.000, 0.000)
Co (0.000, 0.000, 0.000)
Br (0.500, 0.500, 0.500)

=====

Record 8
First-principles (PBE) data for a geometry-optimized ScCo2Br structure, as listed in Alexandria.

relative energy among the computed polymorphs	0.682	eV per atom
total energy	-5.12	eV per atom

Unit cell a=4.430 b=4.430 c=4.430 alpha=60.00 beta=60.00 gamma=60.00
Fractional coordinates of all 4 atoms:
Sc (0.000, 0.000, 0.000)
Co (0.250, 0.250, 0.250)
Co (0.750, 0.750, 0.750)
Br (0.500, 0.500, 0.500)

=====

Record 9
First-principles (PBE) data for a geometry-optimized ScCo2WBr structure, as listed in Alexandria.

total energy	-5.09	eV per atom

Unit cell a=4.536 b=4.536 c=5.164 alpha=90.00 beta=90.00 gamma=90.00
Fractional coordinates of all 5 atoms:
Sc (0.000, 0.000, 0.000)
Co (0.000, 0.500, 0.000)
Co (0.500, 0.000, 0.000)
W (0.000, 0.000, 0.500)
Br (0.500, 0.500, 0.500)

=====

Record 10
First-principles (PBE) data for a geometry-optimized CoSeBr4 structure, as listed in Alexandria.

total energy	-1.70	eV per atom

Unit cell a=6.172 b=6.172 c=6.172 alpha=60.00 beta=60.00 gamma=60.00
Fractional coordinates of all 6 atoms:
Co (0.000, 0.000, 0.000)
Se (0.750, 0.750, 0.750)
Br (0.374, 0.374, 0.374)
Br (0.374, 0.374, 0.877)
Br (0.374, 0.877, 0.374)
Br (0.877, 0.374, 0.374)

=====

Record 11
First-principles (PBE) data for a geometry-optimized CoSe3Br structure, as listed in Alexandria.

relative energy among the computed polymorphs	0.926	eV per atom
total energy	-2.49	eV per atom

Unit cell a=5.146 b=5.146 c=5.146 alpha=90.00 beta=90.00 gamma=90.00
Fractional coordinates of all 5 atoms:
Co (0.000, 0.000, 0.000)
Se (0.000, 0.500, 0.500)
Se (0.500, 0.000, 0.500)
Se (0.500, 0.500, 0.000)
Br (0.500, 0.500, 0.500)

=====

Record 12
First-principles (PBE) data for a geometry-optimized CoSe3Br structure, as listed in Alexandria.

relative energy among the computed polymorphs	0.000	eV per atom
total energy	-3.42	eV per atom

Unit cell a=4.740 b=4.740 c=4.740 alpha=90.00 beta=90.00 gamma=90.00
Fractional coordinates of all 5 atoms:
Co (0.000, 0.000, 0.000)
Se (0.000, 0.000, 0.500)
Se (0.000, 0.500, 0.000)
Se (0.500, 0.000, 0.000)
Br (0.500, 0.500, 0.500)

=====

Number 1: size of the total moment 0.0 Bohr magnetons per cell, uncorrected formation energy 30.1 kJ per mole of atoms. Number 2: size of the total moment 2.6 Bohr magnetons per cell, uncorrected formation energy 23.5 kJ per mole of atoms. Number 3: size of the total moment 2.1 Bohr magnetons per cell, uncorrected formation energy -18.4 kJ per mole of atoms. Number 4: size of the total moment 2.7 Bohr magnetons per cell, uncorrected formation energy 6.4 kJ per mole of atoms. Number 5: size of the total moment 2.6 Bohr magnetons per cell, uncorrected formation energy -24.2 kJ per mole of atoms. Number 6: size of the total moment 2.5 Bohr magnetons per cell, uncorrected formation energy -12.1 kJ per mole of atoms. Number 7: size of the total moment 0.0 Bohr magnetons per cell, uncorrected formation energy -18.6 kJ per mole of atoms. Number 8: size of the total moment 1.7 Bohr magnetons per cell, uncorrected formation energy 41.5 kJ per mole of atoms. Number 9: size of the total moment 5.3 Bohr magnetons per cell, uncorrected formation energy 187.9 kJ per mole of atoms. Number 10: size of the total moment 3.5 Bohr magnetons per cell, uncorrected formation energy 113.6 kJ per mole of atoms. Number 11: size of the total moment 2.9 Bohr magnetons per cell, uncorrected formation energy 130.4 kJ per mole of atoms. Number 12: size of the total moment 1.9 Bohr magnetons per cell, uncorrected formation energy 41.1 kJ per mole of atoms.